# 1
Here is a relaxed structure of Li2Zr2O5 from the Alexandria database. Energies are from PBE.

Cell lengths 5.6743, 5.6743, 7.6951 Å; angles 109.48, 109.48, 70.85 degrees
With the nearest neighbours (Å) after each atom.
Fractional positions:
Li 0.1843 0.7865 0.5443  4 O 2.02-2.12
Li 0.2135 0.8157 0.9557  4 O 2.02-2.12
Li 0.7865 0.1843 0.0443  4 O 2.02-2.12
Li 0.8157 0.2135 0.4557  4 O 2.02-2.12
Zr 0.2221 0.2809 0.8794  6 O 2.06-2.20
Zr 0.2809 0.2221 0.3794  6 O 2.06-2.20
Zr 0.7191 0.7779 0.6206  6 O 2.06-2.20
Zr 0.7779 0.7191 0.1206  6 O 2.06-2.20
O 0.0000 0.5000 0.5000  2 Zr 2.06, 2 Li 2.09
O 0.0228 0.9772 0.2500  2 Li 2.12, 2 Zr 2.12
O 0.0750 0.3663 0.1296  1 Li 2.03, 3 Zr 2.16-2.20
O 0.3663 0.0750 0.6296  1 Li 2.03, 3 Zr 2.16-2.20
O 0.5000 0.0000 0.0000  2 Zr 2.06, 2 Li 2.09
O 0.5000 0.5000 0.0000  2 Li 2.02, 2 Zr 2.11
O 0.5000 0.5000 0.5000  2 Li 2.02, 2 Zr 2.11
O 0.6337 0.9250 0.3704  1 Li 2.03, 3 Zr 2.16-2.20
O 0.9250 0.6337 0.8704  1 Li 2.03, 3 Zr 2.16-2.20
O 0.9772 0.0228 0.7500  2 Li 2.12, 2 Zr 2.12

Properties
spin magnetization = 0.00 μB per formula unit
formation energy (no corrections) = -273.3 kJ per mole of atoms
E above lowest polymorph = 5 meV/atom
N(E_F) = 0.000 states/eV per cell

***

# 2
Here is a relaxed structure of CsCSCl2 from the Alexandria database. Energies are from PBE.

Cell lengths 5.9517, 5.9517, 3.6218 Å; angles 90.00, 90.00, 90.00 degrees
With the nearest neighbours (Å) after each atom.
Fractional positions:
Cs 0.0000 0.0000 0.0000  8 Cl 3.48, 2 Cs 3.62
C 0.5000 0.5000 0.5000  2 S 1.81
S 0.5000 0.5000 0.0000  2 C 1.81
Cl 0.0000 0.5000 0.5000  2 C 2.98
Cl 0.5000 0.0000 0.5000  2 C 2.98

Properties
spin magnetization = 0.21 μB per formula unit
formation energy (no corrections) = 18.5 kJ per mole of atoms
E above lowest polymorph = 0 meV/atom
N(E_F) = 5.667 states/eV per cell

***

# 3
Here is a relaxed structure of MgZnO2 from the Alexandria database. Energies are from PBE.

Cell lengths 5.9259, 5.9259, 5.9259 Å; angles 30.69, 30.69, 30.69 degrees
With the nearest neighbours (Å) after each atom.
Fractional positions:
Mg 0.0000 0.0000 0.0000  6 O 2.10
Zn 0.5000 0.5000 0.5000  2 O 1.76
O 0.3959 0.3959 0.3959  1 Zn 1.76
O 0.6041 0.6041 0.6041  1 Zn 1.76

Properties
spin magnetization = 0.00 μB per formula unit
formation energy (no corrections) = -177.2 kJ per mole of atoms
E above lowest polymorph = 205 meV/atom
N(E_F) = 0.000 states/eV per cell

***

# 4
Here is a relaxed structure of Li2LaBe from the Alexandria database. Energies are from PBE.

Cell lengths 4.9203, 4.9203, 3.4797 Å; angles 90.00, 90.00, 90.00 degrees
With the nearest neighbours (Å) after each atom.
Fractional positions:
Li 0.0000 0.5000 0.0000  4 La 3.01, 4 Be 3.01
Li 0.5000 0.0000 0.0000  4 La 3.01, 4 Be 3.01
La 0.0000 0.0000 0.5000  8 Li 3.01
Be 0.5000 0.5000 0.5000  8 Li 3.01

Properties
spin magnetization = 0.21 μB per formula unit
calculated formation energy = 520 meV per atom
N(E_F) = 3.243 states/eV per cell

***

# 5
Here is a relaxed structure of NdCuHg2 from the Alexandria database. Energies are from PBE.

Cell lengths 5.0399, 5.0399, 5.0399 Å; angles 60.00, 60.00, 60.00 degrees
With the nearest neighbours (Å) after each atom.
Fractional positions:
Nd 0.0000 0.0000 0.0000  8 Hg 3.09
Cu 0.5000 0.5000 0.5000  8 Hg 3.09
Hg 0.2500 0.2500 0.2500  4 Nd 3.09, 4 Cu 3.09
Hg 0.7500 0.7500 0.7500  4 Nd 3.09, 4 Cu 3.09

Properties
spin magnetization = 0.00 μB per formula unit
calculated formation energy = -219 meV per atom
N(E_F) = 2.705 states/eV per cell

***

# 6
Here is a relaxed structure of Tm2Ge2Pd3 from the Alexandria database. Energies are from PBE.

Cell lengths 5.4880, 5.4880, 7.0085 Å; angles 111.40, 111.40, 41.87 degrees
With the nearest neighbours (Å) after each atom.
Fractional positions:
Tm 0.1262 0.1262 0.2631  4 Ge 2.91-3.04, 6 Pd 3.00-3.16
Tm 0.8738 0.8738 0.7369  4 Ge 2.91-3.04, 6 Pd 3.00-3.16
Ge 0.1588 0.1588 0.7127  5 Pd 2.61-2.63, 2 Tm 2.91
Ge 0.8412 0.8412 0.2873  5 Pd 2.61-2.63, 2 Tm 2.91
Pd 0.3787 0.3787 0.0636  3 Ge 2.61-2.63, 1 Pd 2.82
Pd 0.5000 0.5000 0.5000  4 Ge 2.61, 2 Pd 2.82
Pd 0.6213 0.6213 0.9364  3 Ge 2.61-2.63, 1 Pd 2.82

Properties
spin magnetization = 0.00 μB per formula unit
calculated formation energy = -893 meV per atom
N(E_F) = 3.071 states/eV per cell

***

# 7
Here is a relaxed structure of Cu2HgPd3 from the Alexandria database. Energies are from PBE.

Cell lengths 3.0900, 3.0900, 9.5569 Å; angles 90.00, 90.00, 90.00 degrees
With the nearest neighbours (Å) after each atom.
Fractional positions:
Cu 0.0000 0.0000 0.1509  8 Pd 2.62-2.64, 1 Cu 2.89
Cu 0.0000 0.0000 0.8491  8 Pd 2.62-2.64, 1 Cu 2.89
Hg 0.0000 0.0000 0.5000  8 Pd 2.87, 4 Hg 3.09
Pd 0.5000 0.5000 0.0000  8 Cu 2.62, 2 Pd 2.92
Pd 0.5000 0.5000 0.3056  4 Cu 2.64, 4 Hg 2.87, 1 Pd 2.92
Pd 0.5000 0.5000 0.6944  4 Cu 2.64, 4 Hg 2.87, 1 Pd 2.92

Properties
spin magnetization = 0.00 μB per formula unit
calculated formation energy = -138 meV per atom
N(E_F) = 2.737 states/eV per cell

***

# 8
Here is a relaxed structure of K3Pt2N from the Alexandria database. Energies are from PBE.

Cell lengths 6.5925, 6.5925, 7.5565 Å; angles 94.20, 94.20, 91.66 degrees
With the nearest neighbours (Å) after each atom.
Fractional positions:
K 0.0916 0.9084 0.7500  1 N 2.92
K 0.2522 0.4109 0.9955  1 N 3.03, 2 Pt 3.37-3.38
K 0.4109 0.2522 0.4955  1 N 3.03, 2 Pt 3.37-3.38
K 0.5891 0.7478 0.5045  1 N 3.03, 2 Pt 3.37-3.38
K 0.7478 0.5891 0.0045  1 N 3.03, 2 Pt 3.37-3.38
K 0.9084 0.0916 0.2500  1 N 2.92
Pt 0.0649 0.5982 0.3766  1 N 1.91
Pt 0.4018 0.9351 0.1234  1 N 1.91
Pt 0.5982 0.0649 0.8766  1 N 1.91
Pt 0.9351 0.4018 0.6234  1 N 1.91
N 0.2175 0.7825 0.2500  2 Pt 1.91
N 0.7825 0.2175 0.7500  2 Pt 1.91

Properties
spin magnetization = 0.00 μB per formula unit
formation energy (no corrections) = -9.5 kJ per mole of atoms
N(E_F) = 2.938 states/eV per cell